Entry 1:
Crystalline Zr2MnSi at its relaxed geometry. Source: Alexandria, functional PBE.

Cell: 3.2511 3.2511 23.8218 Å, 90.00 90.00 120.00°
Space group R-3m (No. 166, hexagonal axes)
Unique sites:
Zr  0.0000  0.0000  0.2463 x6
Mn  0.0000  0.0000  0.5000 x3
Si  0.0000  0.0000  0.0000 x3

Summary:
Magnetization: 0.102 μB per atom
Formation energy without anion corrections: -0.002 eV/atom

---

Entry 2:
Crystalline ZrMn3Si3 at its relaxed geometry. Source: Alexandria, functional PBE.

Cell: 6.2462 6.2462 6.2462 Å, 90.00 90.00 90.00°
Space group Pm-3n (No. 223)
Unique sites:
Zr  0.0000  0.0000  0.0000 x2
Mn  0.0000  0.2500  0.5000 x6
Si  0.0000  0.5000  0.2500 x6

Summary:
Magnetization: 0.679 μB per atom
Formation energy without anion corrections: 0.479 eV/atom

---

Entry 3:
Crystalline Zr2MnSi2 at its relaxed geometry. Source: Alexandria, functional PBE.

Cell: 6.4361 6.4361 4.0170 Å, 90.00 90.00 90.00°
Space group P4/mbm (No. 127)
Unique sites:
Zr  0.1728  0.3272  0.0000 x4
Mn  0.0000  0.0000  0.5000 x2
Si  0.1341  0.6341  0.5000 x4

Summary:
Magnetization: 0.329 μB per atom
Formation energy without anion corrections: -0.722 eV/atom

---

Entry 4:
Crystalline Sm6Mn23 at its relaxed geometry. Source: Alexandria, functional PBE.

Cell: 12.3585 12.3585 12.3585 Å, 90.00 90.00 90.00°
Space group Fm-3m (No. 225)
Unique sites:
Sm  0.0000  0.0000  0.2043 x24
Mn  0.0000  0.0000  0.5000 x4
Mn  0.0000  0.2500  0.2500 x24
Mn  0.1209  0.1209  0.3791 x32
Mn  0.1775  0.1775  0.1775 x32

Summary:
Energy relative to the elements: 103.3 meV per atom
Magnetization: 0.853 μB per atom

---

Entry 5:
Crystalline Sm4Mn at its relaxed geometry. Source: Alexandria, functional PBE.

Cell: 5.3775 5.3775 5.3775 Å, 90.00 90.00 90.00°
Space group Pm-3m (No. 221)
Unique sites:
Sm  0.0000  0.0000  0.0000 x1
Sm  0.0000  0.5000  0.5000 x3
Mn  0.5000  0.5000  0.5000 x1

Summary:
Energy relative to the elements: 279.3 meV per atom
Magnetization: 0.091 μB per atom

---

Entry 6:
Crystalline SmMn3 at its relaxed geometry. Source: Alexandria, functional PBE.

Cell: 6.0302 6.0302 4.6242 Å, 90.00 90.00 120.00°
Space group P6_3/mmc (No. 194)
Unique sites:
Sm  0.3333  0.6667  0.2500 x2
Mn  0.1467  0.2933  0.7500 x6

Summary:
Energy relative to the elements: 352.6 meV per atom
Magnetization: 2.430 μB per atom

---

Entry 7:
Crystalline SmMnSn at its relaxed geometry. Source: Alexandria, functional PBE.

Cell: 4.3768 4.3768 15.2737 Å, 90.00 90.00 90.00°
Space group I4/mmm (No. 139)
Unique sites:
Sm  0.0000  0.0000  0.1651 x4
Mn  0.0000  0.5000  0.0000 x4
Sn  0.0000  0.0000  0.3820 x4

Summary:
Energy relative to the elements: -298.9 meV per atom
Magnetization: 1.184 μB per atom

---

Entry 8:
Crystalline SmMn6Sn6 at its relaxed geometry. Source: Alexandria, functional PBE.

Cell: 5.4708 5.4708 8.9934 Å, 90.00 90.00 120.00°
Space group P6/mmm (No. 191)
Unique sites:
Sm  0.0000  0.0000  0.0000 x1
Mn  0.0000  0.5000  0.2489 x6
Sn  0.0000  0.0000  0.3353 x2
Sn  0.3333  0.6667  0.0000 x2
Sn  0.3333  0.6667  0.5000 x2

Summary:
Energy relative to the elements: -126.8 meV per atom
Magnetization: 0.989 μB per atom